Entry 1:
Nd3MgC | PBE | optimized geometry

Structure (extended XYZ):
```
20
Lattice="-3.086 -0.151 2.099 -6.004 -5.771 -9.240 3.448 -10.495 4.314" Properties=species:S:1:pos:R:3 pbc="T T T"
Nd -4.476 -3.767 -5.188
Nd -1.166 -12.650 2.362
Nd 0.166 -5.873 1.483
Nd -5.808 -10.544 -4.310
Nd -0.147 -9.578 0.758
Nd -2.601 -3.625 0.900
Nd -3.040 -12.792 -3.727
Nd -3.025 -11.135 -0.262
Nd -2.617 -5.282 -2.564
Nd -0.014 -8.278 4.369
Nd -5.495 -6.839 -3.584
Nd -5.628 -8.139 -7.195
Mg -7.653 -5.293 -6.645
Mg -2.690 -8.836 -2.928
Mg -2.952 -7.581 0.101
Mg 2.011 -11.124 3.819
C -4.409 -12.221 -5.697
C -0.573 -11.873 -0.034
C -5.069 -4.544 -2.793
C -1.233 -4.196 2.870
```

Computed properties:
E_form = -0.0489 eV/atom
Excess energy over the best structure of this formula in the dataset = 0.0 kJ/mol of atoms


Entry 2:
HfUTiPt | PBE | optimized geometry

Structure (extended XYZ):
```
4
Lattice="4.711 0.000 0.000 2.355 4.080 0.000 2.355 1.360 3.846" Properties=species:S:1:pos:R:3 pbc="T T T"
Hf 0.000 0.000 0.000
U 7.066 4.080 2.885
Pt 2.355 1.360 0.962
Ti 4.711 2.720 1.923
```

Computed properties:
E_form = -0.1134 eV/atom


Entry 3:
NdYZnPt | PBE | optimized geometry

Structure (extended XYZ):
```
4
Lattice="5.078 0.000 0.000 2.539 4.398 0.000 2.539 1.466 4.147" Properties=species:S:1:pos:R:3 pbc="T T T"
Y 0.000 0.000 0.000
Zn 2.539 1.466 1.037
Nd 5.078 2.932 2.073
Pt 7.618 4.398 3.110
```

Computed properties:
E_form = -0.7172 eV/atom
Excess energy over the best structure of this formula in the dataset = 4.4 kJ/mol of atoms


Entry 4:
LiPuTiO6 | PBE | optimized geometry

Structure (extended XYZ):
```
18
Lattice="-2.898 3.949 0.378 -2.576 -2.229 3.541 5.567 3.488 6.245" Properties=species:S:1:pos:R:3 pbc="T T T"
Li 0.067 2.617 5.105
Li 0.021 0.013 0.023
Pu -1.800 1.447 3.010
Pu 3.720 2.331 4.173
Ti 1.808 3.708 7.058
Ti 1.762 1.104 1.976
O 0.172 0.646 6.117
O -0.034 4.591 4.097
O -1.726 0.563 1.276
O -3.704 1.185 2.692
O -1.637 -0.415 4.055
O -1.836 3.389 2.108
O 2.099 2.900 5.451
O -0.005 3.562 6.957
O 1.742 5.586 6.142
O 1.936 1.870 8.044
O -2.035 2.327 4.752
O 0.147 1.641 3.190
```

Computed properties:
Formation energy without anion corrections = -2.461 eV/atom


Entry 5:
Ca2ReCl | PBE | optimized geometry

Structure (extended XYZ):
```
4
Lattice="6.681 0.016 0.000 4.122 5.257 0.000 -5.401 -2.636 2.916" Properties=species:S:1:pos:R:3 pbc="T T T"
Re 3.340 0.008 1.458
Ca 0.000 0.000 0.000
Ca 2.061 2.629 1.458
Cl 5.401 2.636 0.000
```

Computed properties:
Excess energy over the best structure of this formula in the dataset = 58.9 kJ/mol of atoms
Formation energy without anion corrections = 0.369 eV/atom


Entry 6:
KSbAs2Br | PBE | optimized geometry

Structure (extended XYZ):
```
5
Lattice="-1.944 -1.179 -4.827 0.813 -5.189 0.940 -5.679 -0.455 2.399" Properties=species:S:1:pos:R:3 pbc="T T T"
Sb 0.000 0.000 0.000
As 0.406 -2.594 0.470
As -0.972 -0.589 -2.413
K -3.405 -3.411 -0.744
Br -2.839 -0.228 1.199
```

Computed properties:
Excess energy over the best structure of this formula in the dataset = 0.0 kJ/mol of atoms
Formation energy without anion corrections = 0.012 eV/atom